Entry 1:
DFT (PBE-GGA) results for a relaxed Y2CdSn crystal.

Cell lengths 3.5182, 3.5182, 33.8244 Å; angles 90.00, 90.00, 120.00 degrees
Space group R-3m (No. 166, hexagonal axes)
Unique sites:
Y (0.0000, 0.0000, 0.0922)
Cd (0.0000, 0.0000, 0.5000)
Sn (0.0000, 0.0000, 0.0000)

Results
For the formation energy, the calculation gives -22 meV/atom.

Entry 2:
DFT (PBE-GGA) results for a relaxed Dy2Zn2SnPd5 crystal.

Cell lengths 9.7512, 9.7512, 3.8180 Å; angles 90.00, 90.00, 90.00 degrees
Space group P4/mbm (No. 127)
Unique sites:
Dy (0.1766, 0.3234, 0.0000)
Zn (0.1197, 0.6197, 0.0000)
Sn (0.0000, 0.0000, 0.0000)
Pd (0.0000, 0.5000, 0.5000)
Pd (0.0684, 0.7918, 0.5000)

Results
For the formation energy, the calculation gives -723 meV/atom.

Entry 3:
DFT (PBE-GGA) results for a relaxed Os2PdCl8 crystal.

Cell lengths 13.7034, 10.5694, 4.7618 Å; angles 90.00, 103.26, 90.00 degrees
Space group C2/m (No. 12)
Unique sites:
Os (0.2129, 0.0000, 0.1857)
Pd (0.0000, 0.0000, 0.0000)
Cl (0.1206, 0.5000, 0.7082)
Cl (0.1289, 0.1828, 0.1302)
Cl (0.1784, 0.0000, 0.6607)

Results
The uncorrected formation energy is -67 kJ/mol of formula units.

Entry 4:
DFT (PBE-GGA) results for a relaxed Cs3Tl4Bi crystal.

Cell lengths 15.4719, 7.3499, 7.4628 Å; angles 90.00, 118.75, 90.00 degrees
Space group C2 (No. 5)
Unique sites:
Cs (0.0000, 0.0000, 0.0000)
Cs (0.1558, 0.2535, 0.5502)
Tl (0.0967, 0.5378, 0.9806)
Tl (0.2330, 0.7283, 0.8403)
Bi (0.0000, 0.7272, 0.5000)

Results
For the formation energy, the calculation gives -107 meV/atom.

no.,energy (eV per atom)
1,-4.484
2,-4.895
3,-3.920
4,-2.095